1.
Compound: LaCeZn
Source: Alexandria
Functional: PBE
Structure: optimized geometry

- electronic total energy (eV/atom) = -4.175
- total magnetic moment (μB per cell) = 0.00
- DOS at the Fermi energy (states/eV per atom) = 2.122

Cell: 16.832 4.251 4.666 Å, 90.00 90.00 90.00°
Space group Pnma (No. 62)
Unique sites:
La: 0.185 0.250 0.216 (multiplicity 4)
Ce: 0.008 0.750 0.187 (multiplicity 4)
Zn: 0.127 0.750 0.706 (multiplicity 4)

2.
Compound: La2CeZn3
Source: Alexandria
Functional: PBE
Structure: optimized geometry

- electronic total energy (eV/atom) = -3.530
- total magnetic moment (μB per cell) = 0.57
- DOS at the Fermi energy (states/eV per atom) = 1.830

Cell: 3.707 3.707 11.192 Å, 90.00 90.00 90.00°
Space group P4/mmm (No. 123)
Unique sites:
La: 0.000 0.000 0.172 (multiplicity 2)
Ce: 0.000 0.000 0.500 (multiplicity 1)
Zn: 0.500 0.500 0.000 (multiplicity 1)
Zn: 0.500 0.500 0.345 (multiplicity 2)

3.
Compound: LaCeZn
Source: Alexandria
Functional: PBE
Structure: optimized geometry

- electronic total energy (eV/atom) = -4.156
- total magnetic moment (μB per cell) = 2.84
- DOS at the Fermi energy (states/eV per atom) = 2.061

Cell: 3.741 3.741 12.090 Å, 90.00 90.00 90.00°
Space group I4mm (No. 107)
Unique sites:
La: 0.000 0.000 0.000 (multiplicity 2)
Ce: 0.000 0.000 0.290 (multiplicity 2)
Zn: 0.000 0.000 0.652 (multiplicity 2)

4.
Compound: LaCeZn4
Source: Alexandria
Functional: PBE
Structure: optimized geometry

- electronic total energy (eV/atom) = -2.954
- total magnetic moment (μB per cell) = 1.72
- DOS at the Fermi energy (states/eV per atom) = 0.862

Cell: 7.888 7.888 7.888 Å, 90.00 90.00 90.00°
Space group F-43m (No. 216)
Unique sites:
La: 0.000 0.000 0.000 (multiplicity 4)
Ce: 0.250 0.250 0.750 (multiplicity 4)
Zn: 0.125 0.125 0.375 (multiplicity 16)

5.
Compound: LaCeZr
Source: Alexandria
Functional: PBE
Structure: optimized geometry

- electronic total energy (eV/atom) = -6.340
- total magnetic moment (μB per cell) = 0.00
- DOS at the Fermi energy (states/eV per atom) = 1.861

Cell: 3.4076 3.4076 8.3158 Å, 90.00 90.00 120.00°
Space group P3m1 (No. 156)
Unique sites:
La: 0.0000 0.0000 0.0000 (multiplicity 1)
Ce: 0.3333 0.6667 0.6579 (multiplicity 1)
Zr: 0.6667 0.3333 0.3426 (multiplicity 1)

6.
Compound: La2CeZr
Source: Alexandria
Functional: PBE
Structure: optimized geometry

- electronic total energy (eV/atom) = -5.909
- total magnetic moment (μB per cell) = 0.68
- DOS at the Fermi energy (states/eV per atom) = 2.214

Cell: 4.990 4.990 4.885 Å, 90.00 90.00 90.00°
Space group P4/mmm (No. 123)
Unique sites:
La: 0.000 0.500 0.000 (multiplicity 2)
Ce: 0.000 0.000 0.500 (multiplicity 1)
Zr: 0.500 0.500 0.500 (multiplicity 1)

7.
Compound: LaCeZr
Source: Alexandria
Functional: PBE
Structure: optimized geometry

- electronic total energy (eV/atom) = -6.373
- total magnetic moment (μB per cell) = 0.00
- DOS at the Fermi energy (states/eV per atom) = 1.910

Cell: 3.568 3.568 13.481 Å, 90.00 90.00 90.00°
Space group P4/nmm (No. 129, origin choice 2)
Unique sites:
La: 0.250 0.250 0.111 (multiplicity 2)
Ce: 0.250 0.250 0.716 (multiplicity 2)
Zr: 0.250 0.250 0.432 (multiplicity 2)

8.
Compound: La2CeZr
Source: Alexandria
Functional: PBE
Structure: optimized geometry

- electronic total energy (eV/atom) = -5.756
- total magnetic moment (μB per cell) = 0.01
- DOS at the Fermi energy (states/eV per atom) = 1.951

Cell: 3.3723 3.3723 36.1344 Å, 90.00 90.00 120.00°
Space group R-3m (No. 166, hexagonal axes)
Unique sites:
La: 0.0000 0.0000 0.0855 (multiplicity 6)
Ce: 0.0000 0.0000 0.5000 (multiplicity 3)
Zr: 0.0000 0.0000 0.0000 (multiplicity 3)

9.
Compound: La2CeZr
Source: Alexandria
Functional: PBE
Structure: optimized geometry

- electronic total energy (eV/atom) = -5.939
- total magnetic moment (μB per cell) = 0.00
- DOS at the Fermi energy (states/eV per atom) = 2.042

Cell: 3.477 3.477 9.799 Å, 90.00 90.00 90.00°
Space group P4/mmm (No. 123)
Unique sites:
La: 0.000 0.000 0.245 (multiplicity 2)
Ce: 0.500 0.500 0.500 (multiplicity 1)
Zr: 0.500 0.500 0.000 (multiplicity 1)

10.
Compound: LaCeZr
Source: Alexandria
Functional: PBE
Structure: optimized geometry

- electronic total energy (eV/atom) = -6.346
- total magnetic moment (μB per cell) = 0.01
- DOS at the Fermi energy (states/eV per atom) = 1.630

Cell: 3.382 3.382 14.782 Å, 90.00 90.00 90.00°
Space group I4mm (No. 107)
Unique sites:
La: 0.000 0.000 0.000 (multiplicity 2)
Ce: 0.000 0.000 0.326 (multiplicity 2)
Zr: 0.000 0.000 0.671 (multiplicity 2)

11.
Compound: LiCe3
Source: Alexandria
Functional: PBE
Structure: optimized geometry

- electronic total energy (eV/atom) = -4.774
- total magnetic moment (μB per cell) = 0.00
- DOS at the Fermi energy (states/eV per atom) = 2.771

Cell: 3.202 10.801 5.581 Å, 90.00 90.00 90.00°
Space group Imm2 (No. 44)
Unique sites:
Li: 0.000 0.000 0.000 (multiplicity 2)
Ce: 0.000 0.244 0.503 (multiplicity 4)
Ce: 0.000 0.500 0.000 (multiplicity 2)

12.
Compound: LiCe3
Source: Alexandria
Functional: PBE
Structure: optimized geometry

- electronic total energy (eV/atom) = -4.696
- total magnetic moment (μB per cell) = 2.97
- DOS at the Fermi energy (states/eV per atom) = 2.856

Cell: 4.581 4.581 9.355 Å, 90.00 90.00 90.00°
Space group I4/mmm (No. 139)
Unique sites:
Li: 0.000 0.000 0.000 (multiplicity 2)
Ce: 0.000 0.000 0.500 (multiplicity 2)
Ce: 0.000 0.500 0.250 (multiplicity 4)